Compound: BaCoSeO
Source: OQMD
Functional: PBE with a Hubbard U
Structure: relaxed

It has space group P4/nmm (No. 129, origin choice 2), with a = 4.278 Å, b = 4.278 Å, c = 8.844 Å, α = 90.00°, β = 90.00° and γ = 90.00°. The distinct sites, in fractional coordinates, are Ba at (0.250, 0.250, 0.237), Co at (0.250, 0.250, 0.582), Se at (0.250, 0.250, 0.855) and O at (0.250, 0.750, 0.500).

Its electronic total energy is -4.984 eV per atom.